! BaCrAu2 PBE relaxed; values from VASP
! Energy of formation   0.0900 eV per atom
! Total energy   -17.741 eV per formula unit
! Offset from the most stable computed form   331 meV/atom
! Total magnetization   4.61 μB per cell
&SYSTEM
  ibrav = 0, nat = 4, ntyp = 3
/
ATOMIC_SPECIES
Ba 137.33 Ba.upf
Cr 52.00 Cr.upf
Au 196.97 Au.upf
CELL_PARAMETERS angstrom
-3.472 4.036 -2.458
-5.551 -1.703 -0.823
3.752 -0.075 4.506
ATOMIC_POSITIONS angstrom
Ba -4.511 1.167 -1.641
Cr -2.116 2.564 0.204
Au 0.000 0.000 0.000
Au -3.155 -0.305 1.021

***

! BaCrAu PBE relaxed; values from VASP
! Energy of formation   0.0342 eV per atom
! Total energy   -14.721 eV per formula unit
! Offset from the most stable computed form   0 meV/atom
! Total magnetization   4.72 μB per cell
&SYSTEM
  ibrav = 0, nat = 3, ntyp = 3
/
ATOMIC_SPECIES
Cr 52.00 Cr.upf
Ba 137.33 Ba.upf
Au 196.97 Au.upf
CELL_PARAMETERS angstrom
4.757 0.000 0.000
-2.378 4.120 0.000
0.000 0.000 4.646
ATOMIC_POSITIONS angstrom
Cr 2.378 1.373 3.873
Ba 0.000 2.746 1.549
Au 0.000 0.000 3.871

***

! BaCrAu2 PBE relaxed; values from VASP
! Energy of formation   -0.1630 eV per atom
! Total energy   -18.753 eV per formula unit
! Offset from the most stable computed form   78 meV/atom
! Total magnetization   4.33 μB per cell
&SYSTEM
  ibrav = 0, nat = 4, ntyp = 3
/
ATOMIC_SPECIES
Ba 137.33 Ba.upf
Cr 52.00 Cr.upf
Au 196.97 Au.upf
CELL_PARAMETERS angstrom
4.657 -0.006 0.055
2.336 4.029 0.055
2.253 1.296 5.875
ATOMIC_POSITIONS angstrom
Ba 4.620 2.658 3.124
Cr 6.919 3.980 5.681
Au 2.259 1.300 5.373
Au 2.323 1.336 0.675